(1)
! BaCa2Cl, optimized geometry, DFT PBE; values from VASP
&SYSTEM
  ibrav = 0, nat = 4, ntyp = 3
/
ATOMIC_SPECIES
Ba 137.33 Ba.upf
Ca 40.08 Ca.upf
Cl 35.45 Cl.upf
ATOMIC_POSITIONS crystal
Ba 0.000 0.000 0.000
Ca 0.000 0.000 0.413
Ca 0.500 0.500 0.690
Cl 0.500 0.500 0.234
CELL_PARAMETERS angstrom
2.078 -3.374 0.000
2.078 3.374 0.000
0.000 0.000 11.238
! Energy relative to the lowest polymorph listed for this composition   14 meV per atom
! Formation energy without anion corrections   -0.7515 eV/atom
! E_tot   -2.695 eV per atom

=====

(2)
! ScAl2Cd, optimized geometry, DFT PBE; values from VASP
&SYSTEM
  ibrav = 0, nat = 4, ntyp = 3
/
ATOMIC_SPECIES
Sc 44.96 Sc.upf
Al 26.98 Al.upf
Cd 112.41 Cd.upf
ATOMIC_POSITIONS crystal
Sc 0.000 0.000 0.000
Al 0.500 0.500 0.242
Al 0.500 0.500 0.758
Cd 0.000 0.000 0.500
CELL_PARAMETERS angstrom
3.036 0.000 0.000
0.000 3.036 0.000
0.000 0.000 8.504
! Energy of formation   -113 meV per atom
! E_tot   -3.796 eV per atom

=====

(3)
! CeB6Mo2, optimized geometry, DFT PBE; values from VASP
&SYSTEM
  ibrav = 0, nat = 9, ntyp = 3
/
ATOMIC_SPECIES
Ce 140.12 Ce.upf
B 10.81 B.upf
Mo 95.94 Mo.upf
ATOMIC_POSITIONS crystal
Ce 0.000 0.000 0.000
B 0.066 0.306 0.760
B 0.337 0.500 0.837
B 0.454 0.694 0.760
B 0.546 0.306 0.240
B 0.663 0.500 0.163
B 0.934 0.694 0.240
Mo 0.345 0.845 0.500
Mo 0.655 0.155 0.500
CELL_PARAMETERS angstrom
-1.581 3.481 4.299
1.581 -3.481 4.299
1.581 3.481 -4.299
! Energy of formation   -543 meV per atom
! E_tot   -8.061 eV per atom

=====

(4)
! ThCdPd2Pt, optimized geometry, DFT PBE; values from VASP
&SYSTEM
  ibrav = 0, nat = 5, ntyp = 4
/
ATOMIC_SPECIES
Th 232.04 Th.upf
Cd 112.41 Cd.upf
Pd 106.42 Pd.upf
Pt 195.08 Pt.upf
ATOMIC_POSITIONS crystal
Th 0.000 0.000 0.000
Cd 0.333 0.667 0.487
Pd 0.000 0.000 0.502
Pd 0.667 0.333 0.736
Pt 0.667 0.333 0.240
CELL_PARAMETERS angstrom
4.623 0.000 0.000
-2.312 4.004 0.000
0.000 0.000 5.669
! Energy of formation   -725 meV per atom
! E_tot   -5.677 eV per atom

=====

(5)
! Li2AcErSb2, optimized geometry, DFT PBE; values from VASP
&SYSTEM
  ibrav = 0, nat = 6, ntyp = 4
/
ATOMIC_SPECIES
Li 6.94 Li.upf
Ac 227.00 Ac.upf
Er 167.26 Er.upf
Sb 121.76 Sb.upf
ATOMIC_POSITIONS crystal
Li 0.333 0.667 0.200
Li 0.667 0.333 0.800
Ac 0.000 0.000 0.500
Er 0.000 0.000 0.000
Sb 0.333 0.667 0.778
Sb 0.667 0.333 0.222
CELL_PARAMETERS angstrom
4.756 0.000 0.000
-2.378 4.118 0.000
0.000 0.000 7.692
! Formation energy without anion corrections   -0.8348 eV/atom
! E_tot   -4.292 eV per atom

=====

(6)
! YSc3, optimized geometry, DFT PBE; values from VASP
&SYSTEM
  ibrav = 0, nat = 4, ntyp = 2
/
ATOMIC_SPECIES
Y 88.91 Y.upf
Sc 44.96 Sc.upf
ATOMIC_POSITIONS crystal
Y 0.000 0.000 0.000
Sc 0.247 0.247 0.247
Sc 0.500 0.500 0.500
Sc 0.753 0.753 0.753
CELL_PARAMETERS angstrom
1.676 0.968 10.820
-1.676 0.968 10.820
0.000 -1.935 10.820
! Energy of formation   69 meV per atom
! Energy relative to the lowest polymorph listed for this composition   51 meV per atom
! E_tot   -6.295 eV per atom

=====

(7)
! Sm2GaTe, optimized geometry, DFT PBE; values from VASP
&SYSTEM
  ibrav = 0, nat = 4, ntyp = 3
/
ATOMIC_SPECIES
Sm 150.36 Sm.upf
Ga 69.72 Ga.upf
Te 127.60 Te.upf
ATOMIC_POSITIONS crystal
Sm 0.000 0.000 0.000
Sm 0.165 0.165 0.165
Ga 0.750 0.750 0.750
Te 0.581 0.581 0.581
CELL_PARAMETERS angstrom
2.054 1.186 8.167
-2.054 1.186 8.167
0.000 -2.372 8.167
! Energy relative to the lowest polymorph listed for this composition   215 meV per atom
! Formation energy without anion corrections   -0.8158 eV/atom
! E_tot   -4.718 eV per atom

=====

(8)
! TcP2Ru, optimized geometry, DFT PBE; values from VASP
&SYSTEM
  ibrav = 0, nat = 4, ntyp = 3
/
ATOMIC_SPECIES
Tc 98.00 Tc.upf
P 30.97 P.upf
Ru 101.07 Ru.upf
ATOMIC_POSITIONS crystal
Tc 0.000 0.000 0.000
P 0.500 0.500 0.219
P 0.500 0.500 0.781
Ru 0.500 0.000 0.500
CELL_PARAMETERS angstrom
2.940 0.000 0.000
0.000 3.670 0.000
0.000 0.000 5.117
! Energy of formation   -53 meV per atom
! Energy relative to the lowest polymorph listed for this composition   326 meV per atom
! E_tot   -7.669 eV per atom